Crystalline Sr3PrN3 at its relaxed geometry. Source: the Open Quantum Materials Database, functional PBE-GGA.

Calculated values
excess energy over the best structure of this formula in the dataset: 5.6 kJ/mol of atoms

Unit cell a=8.0924 b=8.0924 c=5.3468 alpha=90.00 beta=90.00 gamma=120.00
Space group P6_3/m (No. 176)
One atom of each set of equivalent atoms:
Sr (0.0554, 0.3262, 0.2500)
Pr (0.3333, 0.6667, 0.7500)
N (0.0534, 0.3660, 0.7500)

***

Crystalline AgAsS16F6 at its relaxed geometry. Source: the Open Quantum Materials Database, functional PBE-GGA.

Calculated values
raw total energy: -399.1 eV for the cell shown

Unit cell a=17.2964 b=7.7652 c=15.3450 alpha=90.00 beta=102.23 gamma=90.00
Space group C2/c (No. 15)
One atom of each set of equivalent atoms:
Ag (0.0000, 0.1630, 0.2500)
As (0.0000, 0.5000, 0.0000)
S (0.0835, 0.0122, 0.1406)
S (0.0977, 0.2124, 0.8301)
S (0.1291, 0.2086, 0.7091)
S (0.1346, 0.3628, 0.2537)
S (0.1455, 0.1480, 0.4430)
S (0.1676, 0.2034, 0.1600)
S (0.1840, 0.0979, 0.9261)
S (0.2044, 0.3183, 0.3781)
F (0.0066, 0.4527, 0.3883)
F (0.0152, 0.2778, 0.9816)
F (0.1034, 0.4698, 0.5349)

***

Crystalline SiHgAsO at its relaxed geometry. Source: the Open Quantum Materials Database, functional PBE-GGA.

Calculated values
excess energy over the best structure of this formula in the dataset: 0.0 kJ/mol of atoms

Unit cell a=3.6535 b=8.4038 c=5.4811 alpha=90.00 beta=90.00 gamma=90.00
Space group Pmc2_1 (No. 26)
One atom of each set of equivalent atoms:
Si (0.0000, 0.1111, 0.0000)
Hg (0.5000, 0.3126, 0.4978)
As (0.5000, 0.2923, 0.9978)
O (0.0000, 0.0018, 0.2523)

***

Crystalline Y2Mo4P3N3 at its relaxed geometry. Source: the Open Quantum Materials Database, functional PBE-GGA.

Calculated values
raw total energy: -420.0 eV for the cell shown

Unit cell a=9.8771 b=5.8249 c=12.1964 alpha=90.00 beta=105.37 gamma=90.00
Space group C2/c (No. 15)
One atom of each set of equivalent atoms:
Y (0.0473, 0.0815, 0.3884)
Mo (0.1121, 0.4298, 0.5872)
Mo (0.2113, 0.4206, 0.9122)
P (0.0000, 0.4603, 0.2500)
P (0.1910, 0.1178, 0.7489)
N (0.0834, 0.2491, 0.9998)
N (0.2500, 0.2500, 0.5000)

***

Crystalline Lu2TaAs at its relaxed geometry. Source: the Open Quantum Materials Database, functional PBE-GGA.

Calculated values
raw total energy: -99.2 eV for the cell shown

Unit cell a=6.9573 b=6.9573 c=6.9573 alpha=90.00 beta=90.00 gamma=90.00
Space group F-43m (No. 216)
One atom of each set of equivalent atoms:
Lu (0.0000, 0.0000, 0.0000)
Lu (0.2500, 0.2500, 0.2500)
Ta (0.2500, 0.2500, 0.7500)
As (0.0000, 0.0000, 0.5000)

***

Crystalline NaNbAlCo at its relaxed geometry. Source: the Open Quantum Materials Database, functional PBE-GGA.

Calculated values
excess energy over the best structure of this formula in the dataset: 0.0 kJ/mol of atoms

Unit cell a=6.1836 b=6.1836 c=6.1836 alpha=90.00 beta=90.00 gamma=90.00
Space group F-43m (No. 216)
One atom of each set of equivalent atoms:
Na (0.0000, 0.0000, 0.0000)
Nb (0.2500, 0.2500, 0.2500)
Al (0.2500, 0.2500, 0.7500)
Co (0.0000, 0.0000, 0.5000)